{
  "formula": "Mg2ZrCd",
  "functional": "PBE",
  "state": "relaxed",
  "cell": [[-2.437, 0.963, -1.616], [-0.058, -3.866, -2.216], [-3.908, -2.473, 4.417]],
  "species": ["Mg", "Mg", "Zr", "Cd"],
  "fractional_positions": [[0.000, 0.000, 0.999], [0.000, 0.000, 0.501], [0.500, 0.500, 0.250], [0.500, 0.500, 0.750]],
  "sg": "Pmmm",
  "magnetic_moment_mub_per_cell": 0.00,
  "delta_e_f_ev_per_atom": 0.02
}